First-principles (PBE-GGA) data for a geometry-optimized Mg3Hg structure, as listed in Alexandria via LeMat-Bulk.

extended XYZ file:
```
24
Lattice="8.409 0.000 0.000 -4.205 7.283 0.000 0.000 0.000 8.702" Properties=species:S:1:pos:R:3 pbc="T T T"
Mg 0.000 0.000 0.800
Mg 0.000 0.000 5.151
Mg -1.164 2.016 2.973
Mg -1.581 2.738 0.000
Mg -2.624 4.545 4.351
Mg -3.041 5.267 7.324
Mg 2.328 0.000 2.973
Mg 1.164 2.016 7.324
Mg 0.000 4.855 2.026
Mg 0.000 4.855 6.377
Mg 3.162 0.000 0.000
Mg 1.581 2.738 4.351
Mg 5.248 0.000 4.351
Mg 2.624 4.545 0.000
Mg 4.205 2.428 2.026
Mg 4.205 2.428 6.377
Mg 6.082 0.000 7.324
Mg 3.041 5.267 2.973
Hg -1.389 2.405 5.825
Hg -2.816 4.877 1.474
Hg 2.777 0.000 5.825
Hg 1.389 2.405 1.474
Hg 5.632 0.000 1.474
Hg 2.816 4.877 5.825
```

space-group type = No. 185
ρ = 5.1 g/cm3
formation enthalpy at 0 K = -143 meV per atom

---

First-principles (PBE-GGA) data for a geometry-optimized Ti2InCo structure, as listed in Alexandria via LeMat-Bulk.

extended XYZ file:
```
12
Lattice="3.152 0.000 0.000 -1.576 2.730 0.000 0.000 0.000 24.182" Properties=species:S:1:pos:R:3 pbc="T T T"
Ti 0.000 0.000 5.596
Ti 0.000 0.000 18.586
Ti 0.000 1.820 10.525
Ti 0.000 1.820 21.718
Ti 1.576 0.910 2.464
Ti 1.576 0.910 13.657
In 0.000 0.000 0.000
In 0.000 1.820 16.122
In 1.576 0.910 8.061
Co 0.000 0.000 12.091
Co 0.000 1.820 4.030
Co 1.576 0.910 20.152
```

space-group type = No. 166
ρ = 6.5 g/cm3
formation enthalpy at 0 K = -46 meV per atom

---

What are the volume values for these records? In order: 532.9; 208.1 Å³ per cell.
What are the magnetic moment values for these records? In order: 0.00; 0.00 μB/f.u..